#1
Compound: Cu2AgTe2
Source: the Alexandria database
Functional: PBE
Structure: optimized geometry

Computed properties:
Fermi-level density of states	2.83	states/eV/f.u.
symmetry	P4/mbm

Lattice parameters (Å, degrees): 7.7338 7.7338 3.5620 90.00 90.00 90.00
Element x y z (fractional)
Te  0.3153  0.8153  0.0000
Te  0.8153  0.6847  0.0000
Te  0.6847  0.1847  0.0000
Te  0.1847  0.3153  0.0000
Cu  0.1151  0.6151  0.5000
Cu  0.6151  0.8849  0.5000
Cu  0.8849  0.3849  0.5000
Cu  0.3849  0.1151  0.5000
Ag  0.0000  0.0000  0.0000
Ag  0.5000  0.5000  0.0000



#2
Compound: Cu2AgTe2
Source: the Alexandria database
Functional: PBE
Structure: optimized geometry

Computed properties:
Fermi-level density of states	2.14	states/eV/f.u.
symmetry	I4/mmm

Lattice parameters (Å, degrees): 5.1924 5.1924 5.4715 61.67 61.67 90.00
Element x y z (fractional)
Te  0.7500  0.2500  0.5000
Te  0.2500  0.7500  0.5000
Cu  0.3358  0.3358  0.3283
Cu  0.6642  0.6642  0.6717
Ag  0.0000  0.0000  0.0000



#3
Compound: Cu2AgTe2
Source: the Alexandria database
Functional: PBE
Structure: optimized geometry

Computed properties:
Fermi-level density of states	3.00	states/eV/f.u.
symmetry	Pnma

Lattice parameters (Å, degrees): 4.3538 11.8282 8.7932 90.00 90.00 90.00
Element x y z (fractional)
Cu  0.7500  0.0410  0.5546
Cu  0.2500  0.4590  0.0546
Cu  0.2500  0.9590  0.4454
Cu  0.7500  0.5410  0.9454
Cu  0.2500  0.3825  0.5367
Cu  0.7500  0.1175  0.0367
Cu  0.7500  0.6175  0.4633
Cu  0.2500  0.8825  0.9633
Ag  0.2500  0.2330  0.9134
Ag  0.7500  0.2670  0.4134
Ag  0.7500  0.7670  0.0866
Ag  0.2500  0.7330  0.5866
Te  0.7500  0.4557  0.6656
Te  0.2500  0.0443  0.1656
Te  0.2500  0.5443  0.3344
Te  0.7500  0.9557  0.8344
Te  0.2500  0.1623  0.6010
Te  0.7500  0.3377  0.1010
Te  0.7500  0.8377  0.3990
Te  0.2500  0.6623  0.8990



Most stable structure: #3



#1
Compound: Cu2AgTe2
Source: the Alexandria database
Functional: PBE
Structure: optimized geometry

Computed properties:
Fermi-level density of states	1.68	states/eV/f.u.
symmetry	I4/mmm

Lattice parameters (Å, degrees): 3.8155 3.8155 7.9668 76.15 76.15 90.00
Element x y z (fractional)
Te  0.3731  0.3731  0.2538
Te  0.6269  0.6269  0.7462
Cu  0.7500  0.2500  0.5000
Cu  0.2500  0.7500  0.5000
Ag  0.0000  0.0000  0.0000



#2
Compound: Cu2AgTe2
Source: the Alexandria database
Functional: PBE
Structure: optimized geometry

Computed properties:
Fermi-level density of states	2.82	states/eV/f.u.
symmetry	P4/mbm

Lattice parameters (Å, degrees): 7.2779 7.2779 3.7340 90.00 90.00 90.00
Element x y z (fractional)
Te  0.1804  0.6804  0.5000
Te  0.6804  0.8196  0.5000
Te  0.8196  0.3196  0.5000
Te  0.3196  0.1804  0.5000
Cu  0.3773  0.8773  0.0000
Cu  0.8773  0.6227  0.0000
Cu  0.6227  0.1227  0.0000
Cu  0.1227  0.3773  0.0000
Ag  0.0000  0.0000  0.0000
Ag  0.5000  0.5000  0.0000



Most stable structure: #1



#1
Compound: Th2Cu2Ag3
Source: the Alexandria database
Functional: PBE
Structure: optimized geometry

Computed properties:
Fermi-level density of states	5.63	states/eV/f.u.
symmetry	Cmmm

Lattice parameters (Å, degrees): 3.5043 4.3154 10.1124 102.32 90.00 90.00
Element x y z (fractional)
Th  0.0000  0.8382  0.6764
Th  0.0000  0.1618  0.3236
Cu  0.5000  0.7145  0.4291
Cu  0.5000  0.2855  0.5709
Ag  0.5000  0.5705  0.1409
Ag  0.5000  0.4295  0.8591
Ag  0.0000  0.0000  0.0000



#2
Compound: Th2Cu2Ag3
Source: the Alexandria database
Functional: PBE
Structure: optimized geometry

Computed properties:
Fermi-level density of states	4.60	states/eV/f.u.
symmetry	C2/m

Lattice parameters (Å, degrees): 3.9507 5.6107 7.1270 96.15 90.00 110.61
Element x y z (fractional)
Th  0.6308  0.2616  0.3307
Th  0.3692  0.7384  0.6693
Cu  0.0844  0.1689  0.6409
Cu  0.9156  0.8311  0.3591
Ag  0.3177  0.6353  0.1297
Ag  0.0000  0.0000  0.0000
Ag  0.6823  0.3647  0.8703



Most stable structure: #2



#1
Compound: TiCu2Ag
Source: the Alexandria database
Functional: PBE
Structure: optimized geometry

Computed properties:
Fermi-level density of states	4.20	states/eV/f.u.
symmetry	I-42d

Lattice parameters (Å, degrees): 6.9914 6.9914 5.6093 51.45 51.45 90.00
Site moments in Bohr magnetons follow the coordinates.
Element x y z (fractional)
Cu  0.6212  0.1250  0.2500  0.04
Cu  0.1288  0.6250  0.2500  0.04
Cu  0.3750  0.3788  0.7500  0.04
Cu  0.8750  0.8712  0.7500  0.04
Ag  0.0000  0.0000  0.0000  0.02
Ag  0.7500  0.2500  0.5000  0.02
Ti  0.5000  0.5000  0.0000  0.66
Ti  0.2500  0.7500  0.5000  0.63



#2
Compound: TiCu2Ag
Source: the Alexandria database
Functional: PBE
Structure: optimized geometry

Computed properties:
Fermi-level density of states	2.52	states/eV/f.u.
symmetry	R-3m

Lattice parameters (Å, degrees): 2.7833 2.7833 9.0477 81.15 81.15 60.00
Element x y z (fractional)
Cu  0.7481  0.7481  0.7557
Cu  0.2519  0.2519  0.2443
Ag  0.5000  0.5000  0.5000
Ti  0.0000  0.0000  0.0000



#3
Compound: TiCu2Ag
Source: the Alexandria database
Functional: PBE
Structure: optimized geometry

Computed properties:
Fermi-level density of states	3.08	states/eV/f.u.
symmetry	P4/mmm

Lattice parameters (Å, degrees): 2.8197 4.5840 4.5840 90.00 90.00 90.00
Element x y z (fractional)
Cu  0.0000  0.0000  0.5000
Cu  0.0000  0.5000  0.0000
Ag  0.5000  0.0000  0.0000
Ti  0.5000  0.5000  0.5000



#4
Compound: TiCu2Ag
Source: the Alexandria database
Functional: PBE
Structure: optimized geometry

Computed properties:
Fermi-level density of states	3.62	states/eV/f.u.
symmetry	Fm-3m

Lattice parameters (Å, degrees): 4.3431 4.3431 4.3431 60.00 60.00 60.00
Element x y z (fractional)
Cu  0.2500  0.2500  0.2500
Cu  0.7500  0.7500  0.7500
Ag  0.5000  0.5000  0.5000
Ti  0.0000  0.0000  0.0000



Most stable structure: #4



#1
Compound: Ti2Cu2Ag
Source: the Alexandria database
Functional: PBE
Structure: optimized geometry

Computed properties:
Fermi-level density of states	5.72	states/eV/f.u.
symmetry	P4/mbm

Lattice parameters (Å, degrees): 7.6669 7.6669 2.6731 90.00 90.00 90.00
Element x y z (fractional)
Cu  0.1328  0.6328  0.5000
Cu  0.6328  0.8672  0.5000
Cu  0.8672  0.3672  0.5000
Cu  0.3672  0.1328  0.5000
Ag  0.0000  0.0000  0.0000
Ag  0.5000  0.5000  0.0000
Ti  0.3401  0.8401  0.0000
Ti  0.8401  0.6599  0.0000
Ti  0.6599  0.1599  0.0000
Ti  0.1599  0.3401  0.0000



#2
Compound: Ti2Cu2Ag
Source: the Alexandria database
Functional: PBE
Structure: optimized geometry

Computed properties:
Fermi-level density of states	6.66	states/eV/f.u.
symmetry	P4/mbm

Lattice parameters (Å, degrees): 7.0937 7.0937 3.0473 90.00 90.00 90.00
Site moments in Bohr magnetons follow the coordinates.
Element x y z (fractional)
Cu  0.3740  0.8740  0.0000  0.07
Cu  0.8740  0.6260  0.0000  0.07
Cu  0.6260  0.1260  0.0000  0.07
Cu  0.1260  0.3740  0.0000  0.07
Ag  0.0000  0.0000  0.0000  0.02
Ag  0.5000  0.5000  0.0000  0.02
Ti  0.1683  0.6683  0.5000  0.47
Ti  0.6683  0.8317  0.5000  0.45
Ti  0.8317  0.3317  0.5000  0.47
Ti  0.3317  0.1683  0.5000  0.45



Most stable structure: #2



#1
Compound: TiCuAg2
Source: the Alexandria database
Functional: PBE
Structure: optimized geometry

Computed properties:
Fermi-level density of states	2.84	states/eV/f.u.
symmetry	P4/mmm

Lattice parameters (Å, degrees): 2.8051 2.8051 8.1960 90.00 90.00 90.00
Site moments in Bohr magnetons follow the coordinates.
Element x y z (fractional)
Cu  0.5000  0.5000  0.0000  0.00
Ag  0.0000  0.0000  0.7653  0.01
Ag  0.0000  0.0000  0.2347  0.01
Ti  0.5000  0.5000  0.5000  0.25



#2
Compound: TiCuAg2
Source: the Alexandria database
Functional: PBE
Structure: optimized geometry

Computed properties:
Fermi-level density of states	3.96	states/eV/f.u.
symmetry	Fm-3m

Lattice parameters (Å, degrees): 4.4979 4.4979 4.4979 60.00 60.00 60.00
Element x y z (fractional)
Cu  0.5000  0.5000  0.5000
Ag  0.2500  0.2500  0.2500
Ag  0.7500  0.7500  0.7500
Ti  0.0000  0.0000  0.0000



#3
Compound: TiCuAg2
Source: the Alexandria database
Functional: PBE
Structure: optimized geometry

Computed properties:
Fermi-level density of states	2.94	states/eV/f.u.
symmetry	R-3m

Lattice parameters (Å, degrees): 2.8043 2.8043 10.0550 81.98 81.98 60.00
Element x y z (fractional)
Cu  0.5000  0.5000  0.5000
Ag  0.0912  0.0912  0.7263
Ag  0.9088  0.9088  0.2737
Ti  0.0000  0.0000  0.0000



#4
Compound: TiCuAg2
Source: the Alexandria database
Functional: PBE
Structure: optimized geometry

Computed properties:
Fermi-level density of states	4.23	states/eV/f.u.
symmetry	I-42d

Lattice parameters (Å, degrees): 7.3130 7.3130 5.8314 51.17 51.17 90.00
Site moments in Bohr magnetons follow the coordinates.
Element x y z (fractional)
Cu  0.0000  0.0000  0.0000  0.02
Cu  0.7500  0.2500  0.5000  0.02
Ag  0.6490  0.1250  0.2500  0.04
Ag  0.1010  0.6250  0.2500  0.04
Ag  0.3750  0.3510  0.7500  0.04
Ag  0.8750  0.8990  0.7500  0.04
Ti  0.5000  0.5000  0.0000  1.08
Ti  0.2500  0.7500  0.5000  1.08



Most stable structure: #1